# HfTcMo2 PBE optimized geometry
data_HfTcMo2
_chemical_formula_sum 'Hf1 Tc1 Mo2'
_symmetry_space_group_name_H-M 'P 4/m m m'
_symmetry_Int_Tables_number 123
_symmetry_space_group_name_Hall '-P 4 2'
_cell_length_a 3.1909
_cell_length_b 3.1909
_cell_length_c 6.5574
_cell_angle_alpha 90.00
_cell_angle_beta 90.00
_cell_angle_gamma 90.00
loop_
_atom_site_label
_atom_site_type_symbol
_atom_site_fract_x
_atom_site_fract_y
_atom_site_fract_z
_atom_site_occupancy
Hf1 Hf 0.0000 0.0000 0.0000 1
Tc1 Tc 0.0000 0.0000 0.5000 1
Mo1 Mo 0.5000 0.5000 0.2656 1
# E in eV per atom: -10.5553

=====

# VNi3Rh2 PBE optimized geometry
data_VNi3Rh2
_chemical_formula_sum 'V4 Ni12 Rh8'
_symmetry_space_group_name_H-M 'C m c m'
_symmetry_Int_Tables_number 63
_symmetry_space_group_name_Hall '-C 2c 2'
_cell_length_a 5.1931
_cell_length_b 12.3793
_cell_length_c 4.8868
_cell_angle_alpha 90.00
_cell_angle_beta 90.00
_cell_angle_gamma 90.00
loop_
_atom_site_label
_atom_site_type_symbol
_atom_site_fract_x
_atom_site_fract_y
_atom_site_fract_z
_atom_site_occupancy
V1 V 0.0000 0.1551 0.2500 1
Ni1 Ni 0.0000 0.3428 0.7500 1
Ni2 Ni 0.2461 0.1808 0.7500 1
Rh1 Rh 0.2468 0.5000 0.0000 1
# E in eV per atom: -6.7490

=====

# Cd3IO6 PBE optimized geometry
data_Cd3IO6
_chemical_formula_sum 'Cd18 I6 O36'
_symmetry_space_group_name_H-M 'R -3'
_symmetry_Int_Tables_number 148
_symmetry_space_group_name_Hall '-R 3'
_cell_length_a 9.3820
_cell_length_b 9.3820
_cell_length_c 11.6414
_cell_angle_alpha 90.00
_cell_angle_beta 90.00
_cell_angle_gamma 120.00
loop_
_atom_site_label
_atom_site_type_symbol
_atom_site_fract_x
_atom_site_fract_y
_atom_site_fract_z
_atom_site_occupancy
Cd1 Cd 0.0328 0.2549 0.2163 1
I1 I 0.0000 0.0000 0.0000 1
I2 I 0.0000 0.0000 0.5000 1
O1 O 0.0202 0.1826 0.8849 1
O2 O 0.0429 0.1880 0.4076 1
# Raw formation energy in meV/atom: -793
# E in eV per atom: -4.1978

=====

# CuAg3Cl6 PBE optimized geometry
data_CuAg3Cl6
_chemical_formula_sum 'Cu2 Ag6 Cl12'
_symmetry_space_group_name_H-M 'P 1 21/c 1'
_symmetry_Int_Tables_number 14
_symmetry_space_group_name_Hall '-P 2ybc'
_cell_length_a 6.4869
_cell_length_b 7.1821
_cell_length_c 11.7903
_cell_angle_alpha 90.00
_cell_angle_beta 112.06
_cell_angle_gamma 90.00
loop_
_atom_site_label
_atom_site_type_symbol
_atom_site_fract_x
_atom_site_fract_y
_atom_site_fract_z
_atom_site_occupancy
Cu1 Cu 0.0000 0.0000 0.0000 1
Ag1 Ag 0.3430 0.1158 0.8292 1
Ag2 Ag 0.5000 0.0000 0.5000 1
Cl1 Cl 0.1019 0.2330 0.4320 1
Cl2 Cl 0.2261 0.6696 0.4275 1
Cl3 Cl 0.4428 0.0589 0.2757 1
# Raw formation energy in meV/atom: -423
# E in eV per atom: -2.7959

=====

# Nd2ThZn2In2 PBE optimized geometry
data_Nd2ThZn2In2
_chemical_formula_sum 'Nd6 Th3 Zn6 In6'
_symmetry_space_group_name_H-M 'R -3 m'
_symmetry_Int_Tables_number 166
_symmetry_space_group_name_Hall '-R 3 2"'
_cell_length_a 4.7584
_cell_length_b 4.7584
_cell_length_c 28.7086
_cell_angle_alpha 90.00
_cell_angle_beta 90.00
_cell_angle_gamma 120.00
loop_
_atom_site_label
_atom_site_type_symbol
_atom_site_fract_x
_atom_site_fract_y
_atom_site_fract_z
_atom_site_occupancy
Nd1 Nd 0.0000 0.0000 0.1275 1
Th1 Th 0.0000 0.0000 0.0000 1
Zn1 Zn 0.0000 0.0000 0.3935 1
In1 In 0.0000 0.0000 0.2640 1
# E in eV per atom: -3.8010

=====

# MgMn2Ni PBE optimized geometry
data_MgMn2Ni
_chemical_formula_sum 'Mg1 Mn2 Ni1'
_symmetry_space_group_name_H-M 'P m m m'
_symmetry_Int_Tables_number 47
_symmetry_space_group_name_Hall '-P 2 2'
_cell_length_a 3.6802
_cell_length_b 3.9216
_cell_length_c 3.9395
_cell_angle_alpha 90.00
_cell_angle_beta 90.00
_cell_angle_gamma 90.00
loop_
_atom_site_label
_atom_site_type_symbol
_atom_site_fract_x
_atom_site_fract_y
_atom_site_fract_z
_atom_site_occupancy
Mg1 Mg 0.0000 0.0000 0.0000 1
Mn1 Mn 0.5000 0.0000 0.5000 1
Mn2 Mn 0.5000 0.5000 0.0000 1
Ni1 Ni 0.0000 0.5000 0.5000 1
# E in eV per atom: -6.2552